Record 1
# Sm3DyY (PBE, optimized geometry)
# volume	359	Å³ per cell
# mass density	6.49	Mg/m³
# energy of formation	0.30	eV per atom
# E	-4.742	eV per atom
# offset from the most stable computed form	286	meV per atom
data_Sm3DyY
_cell_length_a 3.6290
_cell_length_b 11.7118
_cell_length_c 8.6458
_cell_angle_alpha 90.00
_cell_angle_beta 102.06
_cell_angle_gamma 90.00
_space_group_name_H-M_alt 'P 1 21/m 1'
_space_group_IT_number 11
_space_group_name_Hall '-P 2yb'
loop_
_atom_site_label
_atom_site_type_symbol
_atom_site_fract_x
_atom_site_fract_y
_atom_site_fract_z
Sm1 Sm 0.1500 0.0012 0.2989
Sm2 Sm 0.3169 0.2500 0.6337
Dy1 Dy 0.3427 0.7500 0.6862
Y1 Y 0.0101 0.7500 0.0203

Record 2
# LiNdEuTl (PBE, optimized geometry)
# volume	476	Å³ per cell
# mass density	7.09	Mg/m³
# energy of formation	-0.19	eV per atom
# E	-5.025	eV per atom
data_LiNdEuTl
_cell_length_a 7.8061
_cell_length_b 7.8061
_cell_length_c 7.8061
_cell_angle_alpha 90.00
_cell_angle_beta 90.00
_cell_angle_gamma 90.00
_space_group_name_H-M_alt 'F -4 3 m'
_space_group_IT_number 216
_space_group_name_Hall 'F -4 2 3'
loop_
_atom_site_label
_atom_site_type_symbol
_atom_site_fract_x
_atom_site_fract_y
_atom_site_fract_z
Li1 Li 0.0000 0.0000 0.0000
Nd1 Nd 0.2500 0.2500 0.7500
Eu1 Eu 0.2500 0.2500 0.2500
Tl1 Tl 0.0000 0.0000 0.5000

Record 3
# Ta2TiS5 (PBE, optimized geometry)
# volume	621	Å³ per cell
# mass density	6.10	Mg/m³
# E	-7.444	eV per atom
# E_form (uncorrected)	-0.91	eV/atom
# offset from the most stable computed form	0	meV per atom
data_Ta2TiS5
_cell_length_a 4.8154
_cell_length_b 11.5037
_cell_length_c 11.2040
_cell_angle_alpha 90.00
_cell_angle_beta 90.00
_cell_angle_gamma 90.00
_space_group_name_H-M_alt 'C m c m'
_space_group_IT_number 63
_space_group_name_Hall '-C 2c 2'
loop_
_atom_site_label
_atom_site_type_symbol
_atom_site_fract_x
_atom_site_fract_y
_atom_site_fract_z
Ta1 Ta 0.0000 0.1308 0.0928
Ti1 Ti 0.0000 0.2447 0.7500
S1 S 0.0000 0.0676 0.6212
S2 S 0.0000 0.2824 0.2500
S3 S 0.0000 0.3386 0.5540